ZrBeB2I: relaxed, PBE.

Summary:
E_form (uncorrected)	1140	kJ/mol of formula units
crystal system	tetragonal

a = 4.398 Å, b = 5.474 Å, c = 4.398 Å
α = 90.00°, β = 90.00°, γ = 90.00°
Sites, in units of the cell vectors:
Zr (0.000, 0.500, 0.000)
B (0.000, 0.000, 0.500)
Be (0.500, 0.500, 0.500)
B (0.500, 0.000, 0.000)
I (0.000, 0.000, 0.000)



Zr2BeBI: relaxed, PBE.

Summary:
E_form (uncorrected)	91	kJ/mol of formula units
crystal system	tetragonal

a = 4.985 Å, b = 3.481 Å, c = 4.985 Å
α = 90.00°, β = 90.00°, γ = 90.00°
Sites, in units of the cell vectors:
B (0.000, 0.500, 0.000)
Be (0.000, 0.000, 0.000)
Zr (0.500, 0.000, 0.000)
Zr (0.000, 0.000, 0.500)
I (0.500, 0.500, 0.500)



Question: Which value of E_form (uncorrected) does entry 1 give?
Answer: 1140 kJ/mol of formula units



Question: E_form (uncorrected) of number 2 (Zr2BeBI)?
Answer: 91 kJ/mol of formula units



Question: Which of these has the lowest E_form (uncorrected)?
Answer: Zr2BeBI